This record from Alexandria describes a relaxed NaLi2V3O6 crystal. The functional is GGA+U.

Properties
Total DFT energy (no corrections), eV per atom: -6.81
DOS(E_F), states/eV/f.u.: 0.00

a = 6.9062 Å, b = 6.9062 Å, c = 6.1792 Å
α = 104.74°, β = 104.74°, γ = 25.25°
Sites, in units of the cell vectors:
Na (0.0000, 0.0000, 0.0000)
Li (0.3283, 0.3283, 0.6567)
Li (0.6717, 0.6717, 0.3433)
V (0.0000, 0.0000, 0.5000)
V (0.3313, 0.3313, 0.1701)
V (0.6687, 0.6687, 0.8299)
O (0.1623, 0.1623, 0.5943)
O (0.1756, 0.1756, 0.0675)
O (0.4908, 0.4908, 0.2738)
O (0.5092, 0.5092, 0.7262)
O (0.8244, 0.8244, 0.9325)
O (0.8377, 0.8377, 0.4057)